The following is a GGA-PBE calculation of an optimized crystal structure of CdCu4Ge, from Alexandria.

The value obtained for the total DFT energy (no corrections) is -43.14 eV per cell. The value obtained for the magnetization is 0.0000 μB per atom. Its symmetry is No. 63. The formation energy comes out at 0.058 eV/atom.

Structure (POSCAR):
```
CdCu4Ge
1.0
1.917 -8.445 0.000
1.917 8.445 0.000
0.000 0.000 5.462
Cd Cu Ge
2 8 2
direct
0.085 0.915 0.750 Cd
0.915 0.085 0.250 Cd
0.078 0.922 0.250 Cu
0.344 0.656 0.522 Cu
0.344 0.656 0.978 Cu
0.500 0.500 0.000 Cu
0.500 0.500 0.500 Cu
0.656 0.344 0.022 Cu
0.656 0.344 0.478 Cu
0.922 0.078 0.750 Cu
0.227 0.773 0.250 Ge
0.773 0.227 0.750 Ge
```